The following is a DFT calculation (GGA+U) of crystalline Sr2AgWO6 at its relaxed geometry.

abc: 10.517 5.640 5.664
angles: 90.00 119.47 90.00
Space group C2/m (No. 12)
Symmetry-distinct sites (fractional):
Sr  0.244  0.000  0.224 (multiplicity 4)
Ag  0.000  0.000  0.500 (multiplicity 2)
W  0.000  0.500  0.000 (multiplicity 2)
O  0.063  0.257  0.829 (multiplicity 8)
O  0.197  0.500  0.301 (multiplicity 4)

electronic total energy	-6.395	eV per atom